Here is a geometry-optimized BaSrAcPm structure from the Alexandria database. Energies are from PBE.

The value obtained for the formation energy is 184 meV per atom. The calculation puts the size of the total moment at 0.000 μB/atom.

The space group is F-43m (No. 216) and the conventional cell measures 9.054, 9.054 and 9.054 Å, with angles of 90.00, 90.00 and 90.00 degrees. The asymmetric unit holds Ba at (0.000, 0.000, 0.000), Sr at (0.250, 0.250, 0.250), Ac at (0.250, 0.250, 0.750) and Pm at (0.000, 0.000, 0.500).



Here is a geometry-optimized Ba3AcPm2Te6 structure from the Alexandria database. Energies are from PBE.

Its raw formation energy is -19.1 eV/f.u. The calculation puts the size of the total moment at 0.000 μB/atom.

The space group is C2/m (No. 12) and the conventional cell measures 8.164, 14.119 and 8.377 Å, with angles of 90.00, 108.97 and 90.00 degrees. The asymmetric unit holds Ba at (0.000, 0.000, 0.000), Ba at (0.000, 0.337, 0.000), Ac at (0.000, 0.500, 0.500), Pm at (0.000, 0.167, 0.500), Te at (0.232, 0.000, 0.725) and Te at (0.248, 0.328, 0.728).



Here is a geometry-optimized BaAc2Pm3Te6 structure from the Alexandria database. Energies are from PBE.

Its raw formation energy is -17.8 eV/f.u. The calculation puts the size of the total moment at 0.000 μB/atom.

The space group is C2/m (No. 12) and the conventional cell measures 20.233, 4.583 and 9.364 Å, with angles of 90.00, 103.97 and 90.00 degrees. The asymmetric unit holds Ba at (0.000, 0.000, 0.000), Ac at (0.169, 0.500, 0.337), Pm at (0.000, 0.000, 0.500), Pm at (0.165, 0.500, 0.826), Te at (0.002, 0.500, 0.734), Te at (0.162, 0.000, 0.591) and Te at (0.173, 0.000, 0.074).



Here is a geometry-optimized Ba3Ac3PmTe8 structure from the Alexandria database. Energies are from PBE.

Its raw formation energy is -24.3 eV/f.u. The calculation puts the size of the total moment at 0.000 μB/atom.

The space group is R-3m (No. 166, hexagonal axes) and the conventional cell measures 9.5298, 9.5298 and 24.2610 Å, with angles of 90.00, 90.00 and 120.00 degrees. The asymmetric unit holds Ba at (0.0000, 0.5000, 0.0000), Ac at (0.0000, 0.5000, 0.5000), Pm at (0.0000, 0.0000, 0.5000), Te at (0.0000, 0.0000, 0.2459) and Te at (0.0111, 0.5055, 0.2421).



Here is a geometry-optimized Ba4Ac3PmTe8 structure from the Alexandria database. Energies are from PBE.

Its raw formation energy is -25.9 eV/f.u. The calculation puts the size of the total moment at 0.000 μB/atom.

The space group is R-3m (No. 166, hexagonal axes) and the conventional cell measures 9.5653, 9.5653 and 23.9510 Å, with angles of 90.00, 90.00 and 120.00 degrees. The asymmetric unit holds Ba at (0.0000, 0.0000, 0.0000), Ba at (0.0000, 0.5000, 0.0000), Ac at (0.0000, 0.5000, 0.5000), Pm at (0.0000, 0.0000, 0.5000), Te at (0.0000, 0.0000, 0.2458) and Te at (0.0086, 0.5043, 0.2438).



Here is a geometry-optimized Ba3AcPm3Te8 structure from the Alexandria database. Energies are from PBE.

Its raw formation energy is -23.7 eV/f.u. The calculation puts the size of the total moment at 0.000 μB/atom.

The space group is C2/m (No. 12) and the conventional cell measures 16.012, 9.249 and 9.611 Å, with angles of 90.00, 123.70 and 90.00 degrees. The asymmetric unit holds Ba at (0.000, 0.000, 0.000), Ba at (0.250, 0.250, 0.000), Ac at (0.000, 0.000, 0.500), Pm at (0.000, 0.500, 0.500), Pm at (0.250, 0.250, 0.500), Te at (0.011, 0.262, 0.271), Te at (0.241, 0.500, 0.723) and Te at (0.249, 0.500, 0.271).



Here is a geometry-optimized BaAc2PmTl4 structure from the Alexandria database. Energies are from PBE.

The value obtained for the formation energy is -338 meV per atom. The calculation puts the size of the total moment at 0.000 μB/atom.

The space group is R-3m (No. 166, hexagonal axes) and the conventional cell measures 5.8193, 5.8193 and 28.5165 Å, with angles of 90.00, 90.00 and 120.00 degrees. The asymmetric unit holds Ba at (0.0000, 0.0000, 0.0000), Ac at (0.0000, 0.0000, 0.2516), Pm at (0.0000, 0.0000, 0.5000), Tl at (0.0000, 0.0000, 0.1294) and Tl at (0.0000, 0.0000, 0.3831).



Here is a geometry-optimized Ba2AcPr structure from the Alexandria database. Energies are from PBE.

The value obtained for the formation energy is 281 meV per atom. The calculation puts the size of the total moment at 0.092 μB/atom.

The space group is R-3m (No. 166, hexagonal axes) and the conventional cell measures 3.9484, 3.9484 and 42.9241 Å, with angles of 90.00, 90.00 and 120.00 degrees. The asymmetric unit holds Ba at (0.0000, 0.0000, 0.0858), Ac at (0.0000, 0.0000, 0.5000) and Pr at (0.0000, 0.0000, 0.0000).



Here is a geometry-optimized BaAc14Pr structure from the Alexandria database. Energies are from PBE.

The value obtained for the formation energy is 37 meV per atom. The calculation puts the size of the total moment at 0.000 μB/atom.

The space group is Amm2 (No. 38) and the conventional cell measures 11.304, 11.321 and 11.322 Å, with angles of 90.00, 90.00 and 90.00 degrees. The asymmetric unit holds Ba at (0.000, 0.000, 0.000), Ac at (0.000, 0.249, 0.750), Ac at (0.251, 0.000, 0.255), Ac at (0.251, 0.245, 0.499), Ac at (0.252, 0.000, 0.744), Ac at (0.500, 0.000, 0.500), Ac at (0.500, 0.000, 0.999), Ac at (0.500, 0.249, 0.249) and Pr at (0.000, 0.000, 0.499).



Here is a geometry-optimized BaAc12Pr3 structure from the Alexandria database. Energies are from PBE.

The value obtained for the formation energy is 37 meV per atom. The calculation puts the size of the total moment at 0.000 μB/atom.

The space group is P4/mmm (No. 123) and the conventional cell measures 5.599, 5.599 and 22.416 Å, with angles of 90.00, 90.00 and 90.00 degrees. The asymmetric unit holds Ba at (0.000, 0.000, 0.000), Ac at (0.000, 0.500, 0.134), Ac at (0.000, 0.500, 0.377), Ac at (0.500, 0.500, 0.000), Ac at (0.500, 0.500, 0.255), Ac at (0.500, 0.500, 0.500), Pr at (0.000, 0.000, 0.254) and Pr at (0.000, 0.000, 0.500).



Here is a geometry-optimized BaAc4Pr structure from the Alexandria database. Energies are from PBE.

The value obtained for the formation energy is 44 meV per atom. The calculation puts the size of the total moment at 0.000 μB/atom.

The space group is P4/mmm (No. 123) and the conventional cell measures 3.997, 3.997 and 17.089 Å, with angles of 90.00, 90.00 and 90.00 degrees. The asymmetric unit holds Ba at (0.000, 0.000, 0.000), Ac at (0.000, 0.000, 0.348), Ac at (0.500, 0.500, 0.188) and Pr at (0.500, 0.500, 0.500).



Here is a geometry-optimized Ba2AcPr structure from the Alexandria database. Energies are from PBE.

The value obtained for the formation energy is 180 meV per atom. The calculation puts the size of the total moment at 0.000 μB/atom.

The space group is P4/mmm (No. 123) and the conventional cell measures 5.623, 5.623 and 6.074 Å, with angles of 90.00, 90.00 and 90.00 degrees. The asymmetric unit holds Ba at (0.000, 0.500, 0.000), Ac at (0.000, 0.000, 0.500) and Pr at (0.500, 0.500, 0.500).



Here is a geometry-optimized BaAc6Pr2 structure from the Alexandria database. Energies are from PBE.

The value obtained for the formation energy is 453 meV per atom. The calculation puts the size of the total moment at 0.000 μB/atom.

The space group is P-31m (No. 162) and the conventional cell measures 6.6571, 6.6571 and 12.7732 Å, with angles of 90.00, 90.00 and 120.00 degrees. The asymmetric unit holds Ba at (0.0000, 0.0000, 0.0000), Ac at (0.0000, 0.3315, 0.2721) and Pr at (0.3333, 0.6667, 0.5000).



Here is a geometry-optimized BaAc8Pr6 structure from the Alexandria database. Energies are from PBE.

The value obtained for the formation energy is 237 meV per atom. The calculation puts the size of the total moment at 0.000 μB/atom.

The space group is R-3 (No. 148, hexagonal axes) and the conventional cell measures 10.3370, 10.3370 and 21.6201 Å, with angles of 90.00, 90.00 and 120.00 degrees. The asymmetric unit holds Ba at (0.0000, 0.0000, 0.0000), Ac at (0.0000, 0.0000, 0.2593), Ac at (0.0125, 0.3103, 0.1251) and Pr at (0.0051, 0.7081, 0.3723).



Here is a geometry-optimized BaAc4Pr structure from the Alexandria database. Energies are from PBE.

The value obtained for the formation energy is 260 meV per atom. The calculation puts the size of the total moment at 0.000 μB/atom.

The space group is F-43m (No. 216) and the conventional cell measures 10.480, 10.480 and 10.480 Å, with angles of 90.00, 90.00 and 90.00 degrees. The asymmetric unit holds Ba at (0.000, 0.000, 0.000), Ac at (0.123, 0.123, 0.377) and Pr at (0.250, 0.250, 0.750).



Here is a geometry-optimized BaAc4Pr2 structure from the Alexandria database. Energies are from PBE.

The value obtained for the formation energy is 47 meV per atom. The calculation puts the size of the total moment at 0.000 μB/atom.

The space group is R-3m (No. 166, hexagonal axes) and the conventional cell measures 3.9576, 3.9576 and 67.9652 Å, with angles of 90.00, 90.00 and 120.00 degrees. The asymmetric unit holds Ba at (0.0000, 0.0000, 0.0000), Ac at (0.0000, 0.0000, 0.1426), Ac at (0.0000, 0.0000, 0.2809) and Pr at (0.0000, 0.0000, 0.4303).



Here is a geometry-optimized Ba3AcPr2S6 structure from the Alexandria database. Energies are from PBE.

Its raw formation energy is -24.3 eV/f.u. The calculation puts the size of the total moment at 0.000 μB/atom.

The space group is C2/m (No. 12) and the conventional cell measures 7.464, 12.921 and 7.642 Å, with angles of 90.00, 109.02 and 90.00 degrees. The asymmetric unit holds Ba at (0.000, 0.000, 0.000), Ba at (0.000, 0.334, 0.000), Ac at (0.000, 0.500, 0.500), Pr at (0.000, 0.166, 0.500), S at (0.235, 0.000, 0.725) and S at (0.245, 0.330, 0.726).



Here is a geometry-optimized Ba2AcPrS4 structure from the Alexandria database. Energies are from PBE.

Its raw formation energy is -16.2 eV/f.u. The calculation puts the size of the total moment at 0.000 μB/atom.

The space group is P2/m (No. 10) and the conventional cell measures 7.498, 4.337 and 7.660 Å, with angles of 90.00, 109.05 and 90.00 degrees. The asymmetric unit holds Ba at (0.000, 0.000, 0.000), Ba at (0.500, 0.500, 0.000), Ac at (0.000, 0.500, 0.500), Pr at (0.500, 0.000, 0.500), S at (0.249, 0.000, 0.729) and S at (0.264, 0.500, 0.275).



Here is a geometry-optimized Ba4Ac3PrS8 structure from the Alexandria database. Energies are from PBE.

Its raw formation energy is -32.6 eV/f.u. The calculation puts the size of the total moment at 0.000 μB/atom.

The space group is R-3m (No. 166, hexagonal axes) and the conventional cell measures 8.7357, 8.7357 and 21.7773 Å, with angles of 90.00, 90.00 and 120.00 degrees. The asymmetric unit holds Ba at (0.0000, 0.0000, 0.0000), Ba at (0.0000, 0.5000, 0.0000), Ac at (0.0000, 0.5000, 0.5000), Pr at (0.0000, 0.0000, 0.5000), S at (0.0000, 0.0000, 0.2440) and S at (0.0060, 0.5030, 0.2427).



Here is a geometry-optimized BaAc2PrSb4 structure from the Alexandria database. Energies are from PBE.

Its raw formation energy is -8.6 eV/f.u. The calculation puts the size of the total moment at 0.000 μB/atom.

The space group is P2/m (No. 10) and the conventional cell measures 8.258, 4.781 and 8.327 Å, with angles of 90.00, 109.38 and 90.00 degrees. The asymmetric unit holds Ba at (0.000, 0.000, 0.000), Ac at (0.500, 0.000, 0.500), Ac at (0.500, 0.500, 0.000), Pr at (0.000, 0.500, 0.500), Sb at (0.245, 0.000, 0.738) and Sb at (0.254, 0.500, 0.264).



Here is a geometry-optimized Ba4Ac3PrSe8 structure from the Alexandria database. Energies are from PBE.

Its raw formation energy is -31.1 eV/f.u. The calculation puts the size of the total moment at 0.000 μB/atom.

The space group is R-3m (No. 166, hexagonal axes) and the conventional cell measures 9.0464, 9.0464 and 22.5941 Å, with angles of 90.00, 90.00 and 120.00 degrees. The asymmetric unit holds Ba at (0.0000, 0.0000, 0.0000), Ba at (0.0000, 0.5000, 0.0000), Ac at (0.0000, 0.5000, 0.5000), Pr at (0.0000, 0.0000, 0.5000), Se at (0.0000, 0.0000, 0.2448) and Se at (0.0057, 0.5029, 0.2435).



Here is a geometry-optimized BaAc2PrSe4 structure from the Alexandria database. Energies are from PBE.

Its raw formation energy is -15.0 eV/f.u. The calculation puts the size of the total moment at 0.000 μB/atom.

The space group is P2/m (No. 10) and the conventional cell measures 7.721, 4.449 and 7.775 Å, with angles of 90.00, 109.18 and 90.00 degrees. The asymmetric unit holds Ba at (0.000, 0.000, 0.000), Ac at (0.500, 0.000, 0.500), Ac at (0.500, 0.500, 0.000), Pr at (0.000, 0.500, 0.500), Se at (0.246, 0.000, 0.739) and Se at (0.255, 0.500, 0.262).